(1)
Material: GaTcAs2
Method: DFT, GGA-PBE
State: optimized geometry

CIF file:
```
data_GaTcAs2
_space_group_name_H-M_alt 'P 1'
_space_group_IT_number 1
_space_group_name_Hall 'P 1'
_cell_length_a 5.130
_cell_length_b 5.155
_cell_length_c 5.287
_cell_angle_alpha 86.82
_cell_angle_beta 78.29
_cell_angle_gamma 78.91
loop_
_atom_site_label
_atom_site_fract_x
_atom_site_fract_y
_atom_site_fract_z
_atom_site_occupancy
As1 0.613 0.732 0.287 1
As2 0.992 0.185 0.293 1
As3 0.008 0.815 0.707 1
As4 0.387 0.268 0.713 1
Ga1 0.118 0.677 0.213 1
Ga2 0.882 0.323 0.787 1
Tc1 0.498 0.260 0.187 1
Tc2 0.502 0.740 0.813 1
```

(2)
Material: GdB4Ir
Method: DFT, GGA-PBE
State: optimized geometry

CIF file:
```
data_GdB4Ir
_space_group_name_H-M_alt 'P 1'
_space_group_IT_number 1
_space_group_name_Hall 'P 1'
_cell_length_a 3.265
_cell_length_b 3.265
_cell_length_c 6.758
_cell_angle_alpha 90.00
_cell_angle_beta 90.00
_cell_angle_gamma 120.00
loop_
_atom_site_label
_atom_site_fract_x
_atom_site_fract_y
_atom_site_fract_z
_atom_site_occupancy
B1 0.667 0.333 0.214 1
B2 0.333 0.667 0.214 1
B3 0.667 0.333 0.786 1
B4 0.333 0.667 0.786 1
Gd1 0.000 0.000 0.500 1
Ir1 0.000 0.000 0.000 1
```

Computed properties:
Energy above the most stable polymorph in this dataset = 0.0 meV per atom

(3)
Material: Co7Sn
Method: DFT, GGA-PBE
State: optimized geometry

CIF file:
```
data_Co7Sn
_space_group_name_H-M_alt 'P 1'
_space_group_IT_number 1
_space_group_name_Hall 'P 1'
_cell_length_a 2.605
_cell_length_b 3.415
_cell_length_c 33.606
_cell_angle_alpha 90.00
_cell_angle_beta 90.00
_cell_angle_gamma 90.00
loop_
_atom_site_label
_atom_site_fract_x
_atom_site_fract_y
_atom_site_fract_z
_atom_site_occupancy
Co1 0.500 0.500 0.262 1
Co2 0.000 0.000 0.298 1
Co3 0.500 0.500 0.335 1
Co4 0.000 0.000 0.371 1
Co5 0.500 0.500 0.408 1
Co6 0.000 0.000 0.445 1
Co7 0.500 0.500 0.482 1
Co8 0.000 0.000 0.518 1
Co9 0.500 0.500 0.555 1
Co10 0.000 0.000 0.592 1
Co11 0.500 0.500 0.629 1
Co12 0.000 0.000 0.665 1
Co13 0.500 0.500 0.702 1
Co14 0.000 0.000 0.738 1
Sn1 0.000 0.000 0.211 1
Sn2 0.500 0.500 0.789 1
```

Computed properties:
Energy above the most stable polymorph in this dataset = 0.0 meV per atom

(4)
Material: Pm2Te2S
Method: DFT, GGA-PBE
State: optimized geometry

CIF file:
```
data_Pm2Te2S
_space_group_name_H-M_alt 'P 1'
_space_group_IT_number 1
_space_group_name_Hall 'P 1'
_cell_length_a 4.485
_cell_length_b 4.485
_cell_length_c 16.009
_cell_angle_alpha 90.00
_cell_angle_beta 90.00
_cell_angle_gamma 90.00
loop_
_atom_site_label
_atom_site_fract_x
_atom_site_fract_y
_atom_site_fract_z
_atom_site_occupancy
Pm1 0.500 0.000 0.116 1
Pm2 0.000 0.500 0.399 1
Pm3 0.500 0.000 0.601 1
Pm4 0.000 0.500 0.884 1
S1 0.000 0.000 0.500 1
S2 0.500 0.500 0.500 1
Te1 0.000 0.500 0.092 1
Te2 0.500 0.000 0.302 1
Te3 0.000 0.500 0.698 1
Te4 0.500 0.000 0.908 1
```

V across the listed records, respectively: 134 62 299 322 Å³/cell.
Final energy across the listed records, respectively: -5.6300 -6.8715 -6.5936 -5.4937 eV per atom.